1.
# Li3PuGe2 | Alexandria via LeMat-Bulk | PBE-GGA | optimized geometry
# Theoretical density: 6.07 g cm⁻³
# Energy of formation: -0.318 eV per atom
# DOS at the Fermi energy: 53.45 states/eV/cell
data_Li3PuGe2
_cell_length_a 14.630
_cell_length_b 4.266
_cell_length_c 8.013
_cell_angle_alpha 90.00
_cell_angle_beta 116.26
_cell_angle_gamma 90.00
_space_group_name_H-M_alt 'C 1 2/m 1'
_space_group_IT_number 12
_space_group_name_Hall '-C 2y'
loop_
_atom_site_label
_atom_site_type_symbol
_atom_site_fract_x
_atom_site_fract_y
_atom_site_fract_z
_atom_site_occupancy
Li1 Li 0.044 0.000 0.373 1
Li2 Li 0.098 0.500 0.692 1
Li3 Li 0.192 0.500 0.474 1
Pu1 Pu 0.148 0.000 0.053 1
Ge1 Ge 0.027 0.500 0.165 1
Ge2 Ge 0.198 0.000 0.719 1



2.
# ErThNi2 | Alexandria via LeMat-Bulk | PBE-GGA | optimized geometry
# Energy above the lowest structure with this stoichiometry: 111 meV per atom
# Theoretical density: 10.67 g cm⁻³
# Energy of formation: -0.359 eV per atom
# DOS at the Fermi energy: 3.86 states/eV/cell
data_ErThNi2
_cell_length_a 4.846
_cell_length_b 4.846
_cell_length_c 3.426
_cell_angle_alpha 90.00
_cell_angle_beta 90.00
_cell_angle_gamma 90.00
_space_group_name_H-M_alt 'P 4/m m m'
_space_group_IT_number 123
_space_group_name_Hall '-P 4 2'
loop_
_atom_site_label
_atom_site_type_symbol
_atom_site_fract_x
_atom_site_fract_y
_atom_site_fract_z
_atom_site_occupancy
Er1 Er 0.000 0.000 0.000 1
Th1 Th 0.500 0.500 0.000 1
Ni1 Ni 0.000 0.500 0.500 1



3.
# V5Ge2H | Alexandria via LeMat-Bulk | PBE-GGA | optimized geometry
# Theoretical density: 5.42 g cm⁻³
# DOS at the Fermi energy: 30.49 states/eV/cell
data_V5Ge2H
_cell_length_a 4.047
_cell_length_b 12.192
_cell_length_c 9.952
_cell_angle_alpha 90.00
_cell_angle_beta 90.00
_cell_angle_gamma 90.00
_space_group_name_H-M_alt 'C m c m'
_space_group_IT_number 63
_space_group_name_Hall '-C 2c 2'
loop_
_atom_site_label
_atom_site_type_symbol
_atom_site_fract_x
_atom_site_fract_y
_atom_site_fract_z
_atom_site_occupancy
V1 V 0.000 0.095 0.125 1
V2 V 0.000 0.297 0.750 1
V3 V 0.000 0.306 0.501 1
Ge1 Ge 0.000 0.111 0.626 1
H1 H 0.000 0.204 0.250 1



4.
# AgHg2Br | Alexandria via LeMat-Bulk | PBE-GGA | optimized geometry
# Energy above the lowest structure with this stoichiometry: 42 meV per atom
# Theoretical density: 9.34 g cm⁻³
# Formation energy (no corrections): -102 meV per atom
# DOS at the Fermi energy: 0.29 states/eV/cell
data_AgHg2Br
_cell_length_a 3.8400
_cell_length_b 3.8400
_cell_length_c 24.5943
_cell_angle_alpha 90.00
_cell_angle_beta 90.00
_cell_angle_gamma 120.00
_space_group_name_H-M_alt 'R -3 m'
_space_group_IT_number 166
_space_group_name_Hall '-R 3 2"'
loop_
_atom_site_label
_atom_site_type_symbol
_atom_site_fract_x
_atom_site_fract_y
_atom_site_fract_z
_atom_site_occupancy
Ag1 Ag 0.0000 0.0000 0.0000 1
Hg1 Hg 0.0000 0.0000 0.2559 1
Br1 Br 0.0000 0.0000 0.5000 1



5.
# AlV2Au2 | Alexandria via LeMat-Bulk | PBE-GGA | optimized geometry
# Energy above the lowest structure with this stoichiometry: 0 meV per atom
# Theoretical density: 10.59 g cm⁻³
# Energy of formation: 0.081 eV per atom
# DOS at the Fermi energy: 9.35 states/eV/cell
data_AlV2Au2
_cell_length_a 3.346
_cell_length_b 3.346
_cell_length_c 14.643
_cell_angle_alpha 90.00
_cell_angle_beta 90.00
_cell_angle_gamma 90.00
_space_group_name_H-M_alt 'I 4/m m m'
_space_group_IT_number 139
_space_group_name_Hall '-I 4 2'
loop_
_atom_site_label
_atom_site_type_symbol
_atom_site_fract_x
_atom_site_fract_y
_atom_site_fract_z
_atom_site_occupancy
Al1 Al 0.000 0.000 0.000 1
V1 V 0.000 0.500 0.250 1
Au1 Au 0.000 0.000 0.403 1



6.
# CdHg2Te | Alexandria via LeMat-Bulk | PBE-GGA | optimized geometry
# Energy above the lowest structure with this stoichiometry: 49 meV per atom
# Theoretical density: 8.94 g cm⁻³
# Formation energy (no corrections): -47 meV per atom
# DOS at the Fermi energy: 1.46 states/eV/cell
data_CdHg2Te
_cell_length_a 4.228
_cell_length_b 4.228
_cell_length_c 6.663
_cell_angle_alpha 90.00
_cell_angle_beta 90.00
_cell_angle_gamma 90.00
_space_group_name_H-M_alt 'P 4/m m m'
_space_group_IT_number 123
_space_group_name_Hall '-P 4 2'
loop_
_atom_site_label
_atom_site_type_symbol
_atom_site_fract_x
_atom_site_fract_y
_atom_site_fract_z
_atom_site_occupancy
Cd1 Cd 0.000 0.000 0.000 1
Hg1 Hg 0.000 0.500 0.500 1
Te1 Te 0.500 0.500 0.000 1



Number 1: E -31.2 eV per formula unit. Number 2: E -25.0 eV per formula unit. Number 3: E -56.1 eV per formula unit. Number 4: E -5.5 eV per formula unit. Number 5: E -28.1 eV per formula unit. Number 6: E -4.8 eV per formula unit.